Entry 1:
Computed, not measured: a relaxed Dy5Er3Sc crystal at the PBE level of DFT.

Properties
Its space-group type is C2/m, No. 12. As for the crystal system: monoclinic.

a b c (Å): 8.1809 8.1809 11.3862
angles (deg): 68.64 68.64 85.66
Last column: nearest neighbours and their distance in Å.
Fractional coordinates of all 18 atoms:
Dy (0.9187, 0.4305, 0.2031)  1 Sc 3.10, 3 Dy 3.24-3.44
Dy (0.2834, 0.7166, 0.0000)  3 Er 3.15-3.48, 4 Dy 3.42-3.44
Dy (0.6778, 0.6778, 0.0456)  1 Sc 2.98, 3 Dy 3.24-3.26, 1 Er 3.25
Dy (0.4930, 0.4930, 0.3737)  2 Dy 2.96-3.26, 2 Er 3.12-3.27
Dy (0.5070, 0.5070, 0.6263)  2 Dy 2.96-3.26, 2 Er 3.12-3.27
Dy (0.3222, 0.3222, 0.9544)  1 Sc 2.98, 3 Dy 3.24-3.26, 1 Er 3.25
Dy (0.4305, 0.9187, 0.2031)  1 Sc 3.10, 3 Dy 3.24-3.44
Dy (0.7166, 0.2834, 0.0000)  3 Er 3.15-3.48, 4 Dy 3.42-3.44
Dy (0.0813, 0.5695, 0.7969)  1 Sc 3.10, 3 Dy 3.24-3.44
Dy (0.5695, 0.0813, 0.7969)  1 Sc 3.10, 3 Dy 3.24-3.44
Er (0.6806, 0.6806, 0.7586)  6 Dy 3.12-3.48, 1 Sc 3.19, 1 Er 3.49
Er (0.7828, 0.7828, 0.3442)  1 Sc 3.00, 2 Dy 3.27-3.32
Er (0.0000, 0.0000, 0.0000)  2 Sc 2.90, 2 Dy 3.15
Er (0.0000, 0.0000, 0.5000)  2 Sc 2.98
Er (0.3194, 0.3194, 0.2414)  6 Dy 3.12-3.48, 1 Sc 3.19, 1 Er 3.49
Er (0.2172, 0.2172, 0.6558)  1 Sc 3.00, 2 Dy 3.27-3.32
Sc (0.9299, 0.9299, 0.7900)  4 Er 2.90-3.19, 3 Dy 2.98-3.10
Sc (0.0701, 0.0701, 0.2100)  4 Er 2.90-3.19, 3 Dy 2.98-3.10

Entry 2:
Computed, not measured: a relaxed Dy12Er5Sc2 crystal at the PBE level of DFT.

Properties
Its space-group type is C2/m, No. 12. As for the crystal system: monoclinic.

a b c (Å): 9.1379 9.1379 10.9782
angles (deg): 72.09 72.09 44.70
Last column: nearest neighbours and their distance in Å.
Fractional coordinates of all 19 atoms:
Dy (0.1085, 0.1085, 0.1765)  6 Dy 3.41-3.66, 4 Er 3.41-3.59, 2 Sc 3.57
Dy (0.4536, 0.9469, 0.8991)  1 Sc 3.19, 7 Dy 3.20-3.52, 3 Er 3.38-3.56
Dy (0.9469, 0.4536, 0.8991)  1 Sc 3.19, 7 Dy 3.20-3.52, 3 Er 3.38-3.56
Dy (0.4316, 0.9485, 0.4064)  6 Dy 3.25-3.59, 4 Er 3.46-3.62
Dy (0.9485, 0.4316, 0.4064)  6 Dy 3.25-3.59, 4 Er 3.46-3.62
Dy (0.6118, 0.6118, 0.7018)  6 Dy 3.47-3.58, 3 Er 3.47-3.48, 2 Sc 3.60
Dy (0.3882, 0.3882, 0.2982)  6 Dy 3.47-3.58, 3 Er 3.47-3.48, 2 Sc 3.60
Dy (0.5684, 0.0515, 0.5936)  6 Dy 3.25-3.59, 4 Er 3.46-3.62
Dy (0.0515, 0.5684, 0.5936)  6 Dy 3.25-3.59, 4 Er 3.46-3.62
Dy (0.5464, 0.0531, 0.1009)  1 Sc 3.19, 7 Dy 3.20-3.52, 3 Er 3.38-3.56
Dy (0.0531, 0.5464, 0.1009)  1 Sc 3.19, 7 Dy 3.20-3.52, 3 Er 3.38-3.56
Dy (0.8915, 0.8915, 0.8235)  6 Dy 3.41-3.66, 4 Er 3.41-3.59, 2 Sc 3.57
Er (0.8834, 0.8834, 0.2911)  9 Dy 3.38-3.59, 1 Er 3.49, 2 Sc 3.63
Er (0.6060, 0.6060, 0.1907)  9 Dy 3.47-3.62, 2 Sc 3.59
Er (0.0000, 0.0000, 0.5000)  6 Dy 3.41-3.46, 2 Er 3.49
Er (0.3940, 0.3940, 0.8093)  9 Dy 3.47-3.62, 2 Sc 3.59
Er (0.1166, 0.1166, 0.7089)  9 Dy 3.38-3.59, 1 Er 3.49, 2 Sc 3.63
Sc (0.7402, 0.2598, 0.0000)  4 Dy 3.19-3.57, 1 Sc 3.34
Sc (0.2598, 0.7402, 0.0000)  4 Dy 3.19-3.57, 1 Sc 3.34

Entry 3:
Computed, not measured: a relaxed Dy12ErSc6 crystal at the PBE level of DFT.

Properties
Its space-group type is R-3m, No. 166. As for the crystal system: trigonal.

a b c (Å): 9.0456 9.0457 9.0457
angles (deg): 107.73 107.73 107.73
Last column: nearest neighbours and their distance in Å.
Fractional coordinates of all 19 atoms:
Dy (0.8880, 0.1120, 0.5000)  4 Sc 3.21-3.31, 5 Dy 3.27-3.55
Dy (0.3698, 0.1465, 0.3698)  1 Sc 2.96, 2 Dy 3.26
Dy (0.3698, 0.3698, 0.1465)  1 Sc 2.96, 2 Dy 3.26
Dy (0.8535, 0.6302, 0.6302)  1 Sc 2.96, 2 Dy 3.26
Dy (0.6302, 0.6302, 0.8535)  1 Sc 2.96, 2 Dy 3.26
Dy (0.6302, 0.8535, 0.6302)  1 Sc 2.96, 2 Dy 3.26
Dy (0.5000, 0.8880, 0.1120)  4 Sc 3.21-3.31, 5 Dy 3.27-3.55
Dy (0.1120, 0.5000, 0.8880)  4 Sc 3.21-3.31, 5 Dy 3.27-3.55
Dy (0.1120, 0.8880, 0.5000)  4 Sc 3.21-3.31, 5 Dy 3.27-3.55
Dy (0.5000, 0.1120, 0.8880)  4 Sc 3.21-3.31, 5 Dy 3.27-3.55
Dy (0.8880, 0.5000, 0.1120)  4 Sc 3.21-3.31, 5 Dy 3.27-3.55
Dy (0.1465, 0.3698, 0.3698)  1 Sc 2.96, 2 Dy 3.26
Er (0.0000, 0.0000, 0.0000)  6 Dy 3.45
Sc (0.6869, 0.2742, 0.6869)  5 Dy 2.96-3.31
Sc (0.6869, 0.6869, 0.2742)  5 Dy 2.96-3.31
Sc (0.2742, 0.6869, 0.6869)  5 Dy 2.96-3.31
Sc (0.3131, 0.3131, 0.7258)  5 Dy 2.96-3.31
Sc (0.3131, 0.7258, 0.3131)  5 Dy 2.96-3.31
Sc (0.7258, 0.3131, 0.3131)  5 Dy 2.96-3.31

Entry 4:
Computed, not measured: a relaxed Dy2Er5Sc2 crystal at the PBE level of DFT.

Properties
Its space-group type is Cm, No. 8. As for the crystal system: monoclinic.

a b c (Å): 9.7892 5.4414 11.5395
angles (deg): 103.63 115.14 90.00
Last column: nearest neighbours and their distance in Å.
Fractional coordinates of all 18 atoms:
Dy (0.9997, 0.0379, 0.0006)  6 Sc 3.29-3.47, 2 Er 3.52-3.53
Dy (0.5001, 0.5376, 0.0000)  6 Sc 3.29-3.47, 2 Er 3.53
Dy (0.0893, 0.2873, 0.5005)  2 Dy 3.23, 6 Er 3.36-3.45
Dy (0.9107, 0.7866, 0.4993)  2 Dy 3.23, 6 Er 3.36-3.44
Er (0.0288, 0.4269, 0.7790)  2 Sc 3.19-3.22, 3 Er 3.40-3.48, 1 Dy 3.42
Er (0.9713, 0.6479, 0.2212)  2 Sc 3.19-3.22, 3 Er 3.40-3.48, 1 Dy 3.42
Er (0.2495, 0.9266, 0.7785)  2 Sc 3.19-3.22, 3 Er 3.39-3.48, 1 Dy 3.42
Er (0.7503, 0.1479, 0.2212)  2 Sc 3.19-3.22, 3 Er 3.39-3.48, 1 Dy 3.43
Er (0.2944, 0.1999, 0.3256)  1 Sc 3.07, 2 Er 3.33, 1 Dy 3.37
Er (0.7059, 0.8744, 0.6745)  1 Sc 3.07, 2 Er 3.33, 1 Dy 3.36
Er (0.5308, 0.6999, 0.3256)  1 Sc 3.07, 2 Er 3.33, 1 Dy 3.36
Er (0.4693, 0.3743, 0.6743)  1 Sc 3.07, 2 Er 3.32-3.33, 1 Dy 3.36
Er (0.3051, 0.7872, 0.5003)  8 Er 3.32-3.54, 2 Dy 3.45
Er (0.6952, 0.2869, 0.4998)  8 Er 3.33-3.54, 2 Dy 3.44
Sc (0.2093, 0.5865, 0.0976)  3 Er 3.07-3.22, 2 Sc 3.23-3.24, 2 Dy 3.29
Sc (0.7906, 0.4889, 0.9024)  3 Er 3.07-3.22, 2 Sc 3.24, 2 Dy 3.29
Sc (0.3879, 0.0864, 0.0974)  3 Er 3.07-3.22, 2 Sc 3.23-3.24, 2 Dy 3.29
Sc (0.6116, 0.9888, 0.9021)  3 Er 3.07-3.22, 2 Sc 3.24, 2 Dy 3.29

Entry 5:
Computed, not measured: a relaxed DyErSc crystal at the PBE level of DFT.

Properties
Its space-group type is I4mm, No. 107. As for the crystal system: tetragonal.

a b c (Å): 3.4536 3.4536 7.6275
angles (deg): 103.08 103.08 90.00
Last column: nearest neighbours and their distance in Å.
Fractional coordinates of all 3 atoms:
Sc (0.6670, 0.6670, 0.3341)  4 Er 3.38, 4 Dy 3.39, 4 Sc 3.45
Er (0.3285, 0.3285, 0.6569)  4 Sc 3.38, 4 Er 3.45, 4 Dy 3.53
Dy (0.0045, 0.0045, 0.0090)  4 Sc 3.39, 4 Dy 3.45, 4 Er 3.53

Entry 6:
Computed, not measured: a relaxed Dy2Er4Sc5 crystal at the PBE level of DFT.

Properties
Its space-group type is P2/m, No. 10. As for the crystal system: monoclinic.

a b c (Å): 3.4372 8.6367 11.1455
angles (deg): 108.82 90.00 90.00
Last column: nearest neighbours and their distance in Å.
Fractional coordinates of all 11 atoms:
Dy (0.0000, 0.8665, 0.5923)  3 Sc 3.31-3.36, 3 Dy 3.44-3.55, 2 Er 3.53
Dy (0.0000, 0.1335, 0.4077)  3 Sc 3.31-3.36, 3 Dy 3.44-3.55, 2 Er 3.53
Er (0.5000, 0.2410, 0.7188)  4 Sc 3.19-3.21, 2 Er 3.44, 2 Dy 3.53
Er (0.5000, 0.7465, 0.8472)  6 Sc 3.18-3.31, 2 Er 3.44
Er (0.5000, 0.7590, 0.2812)  4 Sc 3.19-3.21, 2 Er 3.44, 2 Dy 3.53
Er (0.5000, 0.2535, 0.1528)  6 Sc 3.18-3.31, 2 Er 3.44
Sc (0.0000, 0.5039, 0.3693)  1 Sc 2.94, 4 Er 3.18-3.19
Sc (0.0000, 0.9111, 0.1025)  4 Sc 3.14-3.44, 6 Er 3.21-3.31, 1 Dy 3.32
Sc (0.0000, 0.5000, 0.0000)  4 Sc 3.36-3.44, 8 Er 3.57-3.64
Sc (0.0000, 0.0889, 0.8975)  4 Sc 3.14-3.44, 6 Er 3.21-3.31, 1 Dy 3.32
Sc (0.0000, 0.4961, 0.6307)  1 Sc 2.94, 4 Er 3.18-3.19

The calculation returns the following ΔE_f values, one per record and in order: 0.6013; 0.1561; 0.4381; 0.1273; 0.0443; 0.1267 eV per atom.
The calculation returns the following total DFT energy (no corrections) values, one per record and in order: -4.18; -4.62; -4.71; -4.84; -5.12; -5.25 eV per atom.
The calculation returns the following total magnetization values, one per record and in order: 0.00; 0.00; 0.00; 0.01; 0.00; 0.46 Bohr magnetons per cell.